Compound: MnRuIO2
Source: the Alexandria database
Functional: PBE+U
Structure: relaxed

Cell and atoms, written as CIF:
```
data_MnRuIO2
_chemical_formula_sum 'Mn1 Ru1 I1 O2'
_cell_length_a 3.9231
_cell_length_b 3.9231
_cell_length_c 5.7970
_cell_angle_alpha 90.00
_cell_angle_beta 90.00
_cell_angle_gamma 90.00
_space_group_name_H-M_alt 'P 1'
_space_group_IT_number 1
_space_group_name_Hall 'P 1'
loop_
_atom_site_label
_atom_site_fract_x
_atom_site_fract_y
_atom_site_fract_z
_atom_site_occupancy
Ru1 0.0000 0.0000 0.0000 1
O1 0.5000 0.0000 0.0000 1
Mn1 0.5000 0.5000 0.5000 1
O2 0.0000 0.5000 0.0000 1
I1 0.0000 0.0000 0.5000 1
```

energy above the lowest structure with this stoichiometry = 0.000 eV per atom
theoretical density = 5.86 g/cm³
total DFT energy (no corrections) = -5.8121 eV/atom
crystal system = tetragonal